A plane-wave DFT calculation with PBE-GGA was carried out for a relaxed Hg2RuCl crystal.

Unit cell a=5.9020 b=5.9020 c=5.9020 alpha=139.76 beta=139.76 gamma=58.21
Fractional positions:
Hg: 0.2500 0.7500 0.5000
Hg: 0.7500 0.2500 0.5000
Ru: 0.0000 0.0000 0.0000
Cl: 0.5000 0.5000 0.0000

Values from the calculation:
**Spin magnetization**: 2.460 μB/cell
**E above lowest polymorph**: 44.9 kJ/mol of atoms
**Fermi-level density of states**: 0.987 states/eV/atom
**ΔE_f (raw)**: 662.1 meV/atom
**Theoretical density**: 10.5 g/cm3